No. 1
## Mg5Si6 (PBE)

Data for Mg5Si6 after structural relaxation.

Computed properties:
VASP energy, eV per cell: -79.7
Raw formation energy, eV/atom: 0.06
Total magnetic moment, μB per cell: 0.0
Density of states at the Fermi level, states/eV/f.u.: 3.1

Lattice parameters (Å, degrees): 3.9075 6.9102 16.0178 102.92 96.91 90.02
Closest atoms and distances in Å follow each position.
Positions (direct):
Mg (0.9750, 0.0352, 0.0146)  4 Si 2.73-2.84
Mg (0.7019, 0.9029, 0.4725)  5 Si 2.69-2.92
Mg (0.8163, 0.9769, 0.6982)  5 Si 2.74-2.96
Mg (0.1285, 0.0266, 0.3308)  8 Si 2.83-3.05
Mg (0.5453, 0.9258, 0.1598)  8 Si 2.77-3.11
Mg (0.4013, 0.1091, 0.8673)  5 Si 2.72-2.85
Mg (0.2450, 0.2543, 0.5670)  5 Si 2.65-2.94
Mg (0.1698, 0.5368, 0.4098)  9 Si 2.80-2.96
Mg (0.5076, 0.3886, 0.0803)  8 Si 2.79-3.00, 2 Mg 3.12
Mg (0.4354, 0.6835, 0.9374)  8 Si 2.77-2.96
Si (0.9446, 0.3830, 0.9541)  2 Si 2.41-2.48
Si (0.9998, 0.6837, 0.0661)  2 Si 2.39-2.41
Si (0.6800, 0.2634, 0.4344)  2 Si 2.44-2.45, 1 Mg 2.69
Si (0.7405, 0.5607, 0.5517)  3 Si 2.44-2.54
Si (0.8887, 0.8246, 0.8434)  1 Si 2.40
Si (0.0606, 0.2462, 0.1897)  3 Si 2.47-2.52
Si (0.6156, 0.6923, 0.3015)  3 Si 2.44-2.57
Si (0.3364, 0.3067, 0.7371)  2 Si 2.41-2.42, 1 Mg 2.65
Si (0.8728, 0.4678, 0.8105)  4 Si 2.40-2.48
Si (0.0694, 0.6180, 0.2074)  4 Si 2.39-2.52
Si (0.6081, 0.3136, 0.2866)  4 Si 2.45-2.57
Si (0.2535, 0.8004, 0.5761)  2 Si 2.53-2.54, 3 Mg 2.75-2.82

=====

No. 2
## Na8ZrTe6 (PBE)

Data for Na8ZrTe6 after structural relaxation.

Computed properties:
VASP energy, eV per cell: -101.1
Raw formation energy, eV/atom: -0.84
Total magnetic moment, μB per cell: 0.0
Density of states at the Fermi level, states/eV/f.u.: 0.0

Lattice parameters (Å, degrees): 9.2754 8.8457 12.8804 90.00 90.00 90.00
Closest atoms and distances in Å follow each position.
Positions (direct):
Na (0.3803, 0.0000, 0.9532)  4 Te 3.22-3.29
Na (0.6197, 0.5000, 0.4532)  4 Te 3.22-3.29
Na (0.9375, 0.8009, 0.1420)  4 Te 3.07-3.36, 2 Na 3.28-3.37
Na (0.0625, 0.6991, 0.6420)  4 Te 3.07-3.36, 2 Na 3.28-3.37
Na (0.0625, 0.3009, 0.6420)  4 Te 3.07-3.36, 2 Na 3.28-3.37
Na (0.9375, 0.1991, 0.1420)  4 Te 3.07-3.36, 2 Na 3.28-3.37
Na (0.4179, 0.7287, 0.6941)  4 Te 3.12-3.32, 1 Na 3.37
Na (0.5821, 0.7713, 0.1941)  4 Te 3.12-3.32, 1 Na 3.37
Na (0.5821, 0.2287, 0.1941)  4 Te 3.12-3.32, 1 Na 3.37
Na (0.4179, 0.2713, 0.6941)  4 Te 3.12-3.32, 1 Na 3.37
Na (0.8721, 0.8179, 0.8401)  3 Te 3.11-3.19, 2 Na 3.22-3.28
Na (0.1279, 0.6821, 0.3401)  3 Te 3.11-3.19, 2 Na 3.22-3.28
Na (0.1279, 0.3179, 0.3401)  3 Te 3.11-3.19, 2 Na 3.22-3.28
Na (0.8721, 0.1821, 0.8401)  3 Te 3.11-3.19, 2 Na 3.22-3.28
Na (0.2495, 0.0000, 0.5117)  3 Te 3.00-3.11
Na (0.7505, 0.5000, 0.0117)  3 Te 3.00-3.11
Zr (0.7469, 0.0000, 0.4922)  4 Te 2.73-2.80
Zr (0.2531, 0.5000, 0.9922)  4 Te 2.73-2.80
Te (0.7243, 0.0000, 0.0168)  7 Na 3.10-3.32
Te (0.2757, 0.5000, 0.5168)  7 Na 3.10-3.32
Te (0.1918, 0.0000, 0.7436)  6 Na 3.03-3.25
Te (0.8082, 0.5000, 0.2436)  6 Na 3.03-3.25
Te (0.9878, 0.0000, 0.3609)  1 Zr 2.80, 3 Na 3.11
Te (0.0122, 0.5000, 0.8609)  1 Zr 2.80, 3 Na 3.11
Te (0.5060, 0.0000, 0.3700)  1 Zr 2.73, 1 Na 3.00
Te (0.4940, 0.5000, 0.8700)  1 Zr 2.73, 1 Na 3.00
Te (0.2635, 0.7522, 0.1177)  1 Zr 2.76, 1 Na 3.07
Te (0.7365, 0.7478, 0.6177)  1 Zr 2.76, 1 Na 3.07
Te (0.7365, 0.2522, 0.6177)  1 Zr 2.76, 1 Na 3.07
Te (0.2635, 0.2478, 0.1177)  1 Zr 2.76, 1 Na 3.07

=====

No. 3
## NaAlSn2F8 (PBE)

Data for NaAlSn2F8 after structural relaxation.

Computed properties:
VASP energy, eV per cell: -61.2
Raw formation energy, eV/atom: -2.77
Total magnetic moment, μB per cell: 0.0
Density of states at the Fermi level, states/eV/f.u.: 0.0

Lattice parameters (Å, degrees): 5.2395 5.2104 6.9443 93.64 89.24 87.90
Closest atoms and distances in Å follow each position.
Positions (direct):
Na (0.0000, 0.0000, 0.5000)  6 F 2.39-2.53
Al (0.0000, 0.0000, 0.0000)  6 F 1.81-1.88
Sn (0.5062, 0.5107, 0.7668)  3 F 2.15-2.31
Sn (0.4938, 0.4893, 0.2332)  3 F 2.15-2.31
F (0.0969, 0.7666, 0.1754)  1 Al 1.84
F (0.7269, 0.8134, 0.9315)  1 Al 1.81
F (0.8099, 0.1674, 0.2066)  1 Al 1.88
F (0.9031, 0.2334, 0.8246)  1 Al 1.84
F (0.2731, 0.1866, 0.0685)  1 Al 1.81
F (0.1901, 0.8326, 0.7934)  1 Al 1.88
F (0.6793, 0.6885, 0.5298)  1 Sn 2.15, 1 Na 2.39
F (0.3207, 0.3115, 0.4702)  1 Sn 2.15, 1 Na 2.39

=====

No. 4
## MgTlPb2 (PBE)

Data for MgTlPb2 after structural relaxation.

Computed properties:
VASP energy, eV per cell: -11.2
Formation energy, kJ per mole of atoms: 4
Total magnetic moment, μB per cell: 0.0
Density of states at the Fermi level, states/eV/f.u.: 1.9

Lattice parameters (Å, degrees): 6.4679 6.4679 3.3824 79.94 79.94 118.41
Closest atoms and distances in Å follow each position.
Positions (direct):
Mg (0.0000, 0.5000, 0.5000)  2 Tl 3.31, 4 Pb 3.38, 2 Mg 3.38
Pb (0.0000, 0.0000, 0.0000)  4 Pb 3.31-3.38, 2 Mg 3.38, 2 Tl 3.38
Pb (0.5000, 0.5000, 0.0000)  4 Pb 3.31-3.38, 2 Tl 3.38, 2 Mg 3.38
Tl (0.5000, 0.0000, 0.5000)  2 Mg 3.31, 4 Pb 3.38, 2 Tl 3.38